# K2SiP (PBE, optimized geometry)
data_K2SiP
_chemical_formula_sum 'K2 Si1 P1'
_cell_length_a 5.2856
_cell_length_b 3.7187
_cell_length_c 6.5235
_cell_angle_alpha 90.00
_cell_angle_beta 113.84
_cell_angle_gamma 90.00
_symmetry_space_group_name_H-M 'P 1 m 1'
_symmetry_Int_Tables_number 6
_symmetry_space_group_name_Hall 'P -2y'
loop_
_atom_site_label
_atom_site_fract_x
_atom_site_fract_y
_atom_site_fract_z
K1 0.0000 0.0000 0.0000
K2 0.2905 0.5000 0.5801
Si1 0.5909 0.5000 0.1829
P1 0.7081 0.0000 0.4130
# Formation energy from raw total energies   -0.225 eV per atom
# Polymorph energy (0 for the lowest one)   0 meV/atom
# VASP energy   -13.93 eV per formula unit